# MnCrSiRu2 (PBE, optimized geometry)
# E_form (uncorrected) = 1133 meV/atom
data_MnCrSiRu2
_cell_length_a 4.2760
_cell_length_b 4.2760
_cell_length_c 4.2323
_cell_angle_alpha 90.00
_cell_angle_beta 90.00
_cell_angle_gamma 90.00
_space_group_name_H-M_alt 'P 4/m m m'
_space_group_IT_number 123
_space_group_name_Hall '-P 4 2'
loop_
_atom_site_label
_atom_site_type_symbol
_atom_site_fract_x
_atom_site_fract_y
_atom_site_fract_z
_atom_site_occupancy
Mn1 Mn 0.0000 0.0000 0.0000 1
Cr1 Cr 0.5000 0.5000 0.0000 1
Si1 Si 0.5000 0.5000 0.5000 1
Ru1 Ru 0.0000 0.5000 0.5000 1

=====

# YTmGaRu (PBE, optimized geometry)
# Total energy = -6.2846 eV per atom
data_YTmGaRu
_cell_length_a 6.9358
_cell_length_b 6.9358
_cell_length_c 6.9358
_cell_angle_alpha 90.00
_cell_angle_beta 90.00
_cell_angle_gamma 90.00
_space_group_name_H-M_alt 'F -4 3 m'
_space_group_IT_number 216
_space_group_name_Hall 'F -4 2 3'
loop_
_atom_site_label
_atom_site_type_symbol
_atom_site_fract_x
_atom_site_fract_y
_atom_site_fract_z
_atom_site_occupancy
Y1 Y 0.0000 0.0000 0.0000 1
Tm1 Tm 0.0000 0.0000 0.5000 1
Ga1 Ga 0.2500 0.2500 0.2500 1
Ru1 Ru 0.2500 0.2500 0.7500 1

=====

# YMg2Br (PBE, optimized geometry)
# E_form (uncorrected) = -166 meV/atom
data_YMg2Br
_cell_length_a 5.3790
_cell_length_b 5.3790
_cell_length_c 3.8102
_cell_angle_alpha 90.00
_cell_angle_beta 90.00
_cell_angle_gamma 90.00
_space_group_name_H-M_alt 'P 4/m m m'
_space_group_IT_number 123
_space_group_name_Hall '-P 4 2'
loop_
_atom_site_label
_atom_site_type_symbol
_atom_site_fract_x
_atom_site_fract_y
_atom_site_fract_z
_atom_site_occupancy
Y1 Y 0.0000 0.0000 0.0000 1
Mg1 Mg 0.0000 0.5000 0.5000 1
Br1 Br 0.5000 0.5000 0.0000 1

=====

# Ni3MoAs (PBE, optimized geometry)
# Total energy = -5.7977 eV per atom
data_Ni3MoAs
_cell_length_a 4.2895
_cell_length_b 4.2895
_cell_length_c 4.2895
_cell_angle_alpha 90.00
_cell_angle_beta 90.00
_cell_angle_gamma 90.00
_space_group_name_H-M_alt 'P m -3 m'
_space_group_IT_number 221
_space_group_name_Hall '-P 4 2 3'
loop_
_atom_site_label
_atom_site_type_symbol
_atom_site_fract_x
_atom_site_fract_y
_atom_site_fract_z
_atom_site_occupancy
Ni1 Ni 0.0000 0.0000 0.5000 1
Mo1 Mo 0.5000 0.5000 0.5000 1
As1 As 0.0000 0.0000 0.0000 1

=====

# CsK2PbAu (PBE, optimized geometry)
# Total energy = -2.1313 eV per atom
data_CsK2PbAu
_cell_length_a 6.4866
_cell_length_b 6.4866
_cell_length_c 5.6790
_cell_angle_alpha 90.00
_cell_angle_beta 90.00
_cell_angle_gamma 90.00
_space_group_name_H-M_alt 'P 4/m m m'
_space_group_IT_number 123
_space_group_name_Hall '-P 4 2'
loop_
_atom_site_label
_atom_site_type_symbol
_atom_site_fract_x
_atom_site_fract_y
_atom_site_fract_z
_atom_site_occupancy
Cs1 Cs 0.0000 0.0000 0.0000 1
K1 K 0.0000 0.5000 0.5000 1
Pb1 Pb 0.5000 0.5000 0.0000 1
Au1 Au 0.5000 0.5000 0.5000 1

=====

# NaAsRu (PBE, optimized geometry)
# Total energy = -5.2306 eV per atom
data_NaAsRu
_cell_length_a 8.3433
_cell_length_b 3.1291
_cell_length_c 10.7499
_cell_angle_alpha 90.00
_cell_angle_beta 109.53
_cell_angle_gamma 90.00
_space_group_name_H-M_alt 'C 1 m 1'
_space_group_IT_number 8
loop_
_space_group_symop_operation_xyz
'x,y,z'
'x,-y,z'
'x+1/2,y+1/2,z'
'x+1/2,-y+1/2,z'
loop_
_atom_site_label
_atom_site_type_symbol
_atom_site_fract_x
_atom_site_fract_y
_atom_site_fract_z
_atom_site_occupancy
Na1 Na 0.0000 0.0000 0.0000 1
Na2 Na 0.0938 0.5000 0.6945 1
As1 As 0.2884 0.5000 0.4958 1
As2 As 0.3892 0.0000 0.2206 1
Ru1 Ru 0.0466 0.0000 0.4262 1
Ru2 Ru 0.1893 0.5000 0.2547 1

=====

# PmGe2PdPt5 (PBE, optimized geometry)
# Total energy = -6.0437 eV per atom
data_PmGe2PdPt5
_cell_length_a 4.1020
_cell_length_b 4.1020
_cell_length_c 9.5402
_cell_angle_alpha 90.00
_cell_angle_beta 90.00
_cell_angle_gamma 90.00
_space_group_name_H-M_alt 'P 4/m m m'
_space_group_IT_number 123
_space_group_name_Hall '-P 4 2'
loop_
_atom_site_label
_atom_site_type_symbol
_atom_site_fract_x
_atom_site_fract_y
_atom_site_fract_z
_atom_site_occupancy
Pm1 Pm 0.0000 0.0000 0.0000 1
Ge1 Ge 0.5000 0.5000 0.3749 1
Pd1 Pd 0.0000 0.0000 0.5000 1
Pt1 Pt 0.0000 0.5000 0.2310 1
Pt2 Pt 0.5000 0.5000 0.0000 1

=====

# Ni12Sn4H3Pd (PBE, optimized geometry)
# Total energy = -5.0457 eV per atom
data_Ni12Sn4H3Pd
_cell_length_a 7.8660
_cell_length_b 7.8660
_cell_length_c 7.8660
_cell_angle_alpha 90.00
_cell_angle_beta 90.00
_cell_angle_gamma 90.00
_space_group_name_H-M_alt 'I m -3 m'
_space_group_IT_number 229
_space_group_name_Hall '-I 4 2 3'
loop_
_atom_site_label
_atom_site_type_symbol
_atom_site_fract_x
_atom_site_fract_y
_atom_site_fract_z
_atom_site_occupancy
Ni1 Ni 0.0000 0.0000 0.3008 1
Ni2 Ni 0.0000 0.2500 0.5000 1
Sn1 Sn 0.2500 0.2500 0.2500 1
H1 H 0.0000 0.0000 0.5000 1
Pd1 Pd 0.0000 0.0000 0.0000 1